1.
Y8Tm2Sc | GGA-PBE | relaxed

extended XYZ file:
```
11
Lattice="4.4471 -7.9698 0.0000 4.4471 7.9698 0.0000 -3.0982 0.0000 4.9160" Properties=species:S:1:pos:R:3 pbc="T T T"
Y -0.1553 1.8443 3.2857
Y 4.4471 4.7293 0.0000
Y -0.1553 -1.8443 3.2857
Y 3.0609 0.0000 0.9930
Y 2.7351 0.0000 3.9230
Y 5.9513 1.8443 1.6302
Y 4.4471 -4.7293 0.0000
Y 5.9513 -1.8443 1.6302
Tm 2.8980 3.0754 2.4580
Tm 2.8980 -3.0754 2.4580
Sc 0.0000 0.0000 0.0000
```

Properties
SG: C2/m, No. 12
E_form: 0.174 eV per atom
magnetization: 0.000 μB/cell

=====

2.
Y4TmSc2 | GGA-PBE | relaxed

extended XYZ file:
```
7
Lattice="3.4132 -4.9139 0.0000 3.4132 4.9139 0.0000 -2.0320 0.0000 6.4349" Properties=species:S:1:pos:R:3 pbc="T T T"
Y 0.5233 2.8141 4.9528
Y 4.2712 2.8141 1.4821
Y 0.5233 -2.8141 4.9528
Y 4.2712 -2.8141 1.4821
Tm -1.0160 0.0000 3.2175
Sc 3.4132 0.0000 0.0000
Sc 2.3972 0.0000 3.2175
```

Properties
SG: C2/m, No. 12
E_form: 0.205 eV per atom
magnetization: 0.000 μB/cell

=====

3.
Y6TmSc2 | GGA-PBE | relaxed

extended XYZ file:
```
18
Lattice="5.9372 0.0000 0.0000 0.0000 9.4111 0.0000 -5.3036 0.0000 9.9161" Properties=species:S:1:pos:R:3 pbc="T T T"
Y -2.2907 1.4794 4.3047
Y -4.9425 3.2261 9.2628
Y 0.1800 6.3815 4.0968
Y -2.4718 7.7350 9.0548
Y 0.7159 0.2117 3.2600
Y -1.9360 4.4938 8.2181
Y 2.5695 4.9172 1.6980
Y -0.0823 9.1993 6.6561
Y 3.1054 1.6760 0.8613
Y 0.4536 3.0295 5.8194
Y 5.5761 6.1850 0.6534
Y 2.9243 7.9316 5.6114
Tm 0.0000 0.0000 0.0000
Tm -2.6518 4.7055 4.9581
Sc -2.8897 1.3668 7.5132
Sc -0.2379 3.3388 2.5551
Sc 0.8714 6.0723 7.3610
Sc 3.5232 8.0443 2.4029
```

Properties
SG: P2_1/c, No. 14
E_form: 0.133 eV per atom
magnetization: 0.000 μB/cell

=====

4.
Y3Tm3Sc5 | GGA-PBE | relaxed

extended XYZ file:
```
11
Lattice="8.9609 0.0000 0.0000 -4.4804 7.7604 0.0000 0.0000 0.0000 5.4550" Properties=species:S:1:pos:R:3 pbc="T T T"
Y -2.6962 4.6699 0.0000
Y 1.7843 3.0904 0.0000
Y 5.3924 0.0000 0.0000
Tm -1.7060 2.9549 2.7275
Tm 3.4121 0.0000 2.7275
Tm 2.7744 4.8054 2.7275
Sc -3.3766 5.8485 2.7275
Sc 1.1038 1.9118 2.7275
Sc 0.0000 5.1736 2.7275
Sc 4.4804 2.5868 2.7275
Sc 6.7533 0.0000 2.7275
```

Properties
SG: P-62m, No. 189
E_form: 0.814 eV per atom
magnetization: 0.047 μB/cell

=====

5.
Y5TmSc | GGA-PBE | relaxed

extended XYZ file:
```
7
Lattice="3.4223 -4.9969 0.0000 3.4223 4.9969 0.0000 -1.9646 0.0000 6.5935" Properties=species:S:1:pos:R:3 pbc="T T T"
Y 0.0000 0.0000 0.0000
Y 1.6286 2.1427 1.7518
Y 3.2513 2.1427 4.8417
Y 1.6286 -2.1427 1.7518
Y 3.2513 -2.1427 4.8417
Tm -0.9823 0.0000 3.2968
Sc 3.4223 0.0000 0.0000
```

Properties
SG: C2/m, No. 12
E_form: 0.221 eV per atom
magnetization: 0.000 μB/cell

=====

6.
YTm2Sc2 | GGA-PBE | relaxed

extended XYZ file:
```
20
Lattice="13.8924 0.0000 0.0000 0.0000 6.8870 0.0000 -0.8413 0.0000 5.9023" Properties=species:S:1:pos:R:3 pbc="T T T"
Y 2.6109 0.8467 0.8806
Y 2.1902 2.5968 3.8318
Y 10.8609 4.2902 2.0706
Y 10.4402 6.0402 5.0217
Tm 2.6226 4.3183 0.8662
Tm 2.2020 6.0122 3.8173
Tm 4.8467 0.8534 5.1914
Tm 5.2674 2.5901 2.2402
Tm 7.7837 4.2969 3.6621
Tm 8.2043 6.0336 0.7109
Tm 10.8491 0.8748 2.0850
Tm 10.4285 2.5687 5.0361
Sc 13.2587 0.8614 4.4149
Sc 13.6793 2.5821 1.4637
Sc -0.6283 4.3049 4.4386
Sc -0.2076 6.0256 1.4874
Sc 4.8128 4.3138 5.2242
Sc 5.2334 6.0166 2.2730
Sc 7.8177 0.8703 3.6293
Sc 8.2383 2.5732 0.6781
```

Properties
SG: P2_1/c, No. 14
E_form: 0.047 eV per atom
magnetization: 0.002 μB/cell

=====

7.
Y8Tm2Sc | GGA-PBE | relaxed

extended XYZ file:
```
11
Lattice="5.7444 -3.3663 0.0000 5.7444 3.3663 0.0000 -4.6307 0.0000 9.1535" Properties=species:S:1:pos:R:3 pbc="T T T"
Y -1.1055 0.0000 2.7696
Y 1.9890 1.6044 3.4416
Y -1.0180 0.0000 8.8202
Y 4.8692 1.6044 5.7118
Y 1.9890 -1.6044 3.4416
Y 7.8762 0.0000 0.3333
Y 4.8692 -1.6044 5.7118
Y 7.9637 0.0000 6.3839
Tm 1.7682 0.0000 6.6251
Tm 5.0900 0.0000 2.5284
Sc 0.0000 0.0000 0.0000
```

Properties
SG: C2/m, No. 12
E_form: 0.228 eV per atom
magnetization: 0.000 μB/cell

=====

8.
Y2Tm8Sc3 | GGA-PBE | relaxed

extended XYZ file:
```
13
Lattice="7.2600 -4.3123 0.0000 7.2600 4.3123 0.0000 -0.9399 0.0000 6.4219" Properties=species:S:1:pos:R:3 pbc="T T T"
Y 2.6826 0.0000 1.7870
Y 10.8976 0.0000 4.6348
Tm 2.0975 0.0000 5.0205
Tm 5.1496 1.5728 3.6876
Tm 5.8990 0.0000 0.7435
Tm 8.4306 1.5728 2.7343
Tm 5.1496 -1.5728 3.6876
Tm 7.6812 0.0000 5.6784
Tm 8.4306 -1.5728 2.7343
Tm 11.4827 0.0000 1.4014
Sc -0.4699 0.0000 3.2109
Sc 7.2600 2.8939 0.0000
Sc 7.2600 -2.8939 0.0000
```

Properties
SG: C2/m, No. 12
E_form: 0.269 eV per atom
magnetization: 0.000 μB/cell